No. 1
# LaAl9Pd2 | the Alexandria database | GGA-PBE | optimized geometry
data_LaAl9Pd2
_chemical_formula_sum 'La4 Al36 Pd8'
_space_group_name_H-M_alt 'I 41/a m d'
_space_group_IT_number 141
_cell_length_a 10.7620
_cell_length_b 10.7620
_cell_length_c 7.2613
_cell_angle_alpha 90.00
_cell_angle_beta 90.00
_cell_angle_gamma 90.00
loop_
_space_group_symop_operation_xyz
'x,y,z'
'-x,-y,-z'
'-y+1/4,x+3/4,z+1/4'
'y+1/4,-x+3/4,-z+1/4'
'-x+1/2,-y,z+1/2'
'x+1/2,y,-z+1/2'
'y+1/4,-x+1/4,z+3/4'
'-y+1/4,x+1/4,-z+3/4'
'x,-y,-z'
'-x,y,z'
'-y+1/4,-x+1/4,-z+3/4'
'y+1/4,x+1/4,z+3/4'
'-x+1/2,y,-z+1/2'
'x+1/2,-y,z+1/2'
'y+1/4,x+3/4,-z+1/4'
'-y+1/4,-x+3/4,z+1/4'
'x+1/2,y+1/2,z+1/2'
'-x+1/2,-y+1/2,-z+1/2'
'-y+3/4,x+1/4,z+3/4'
'y+3/4,-x+1/4,-z+3/4'
'-x,-y+1/2,z'
'x,y+1/2,-z'
'y+3/4,-x+3/4,z+1/4'
'-y+3/4,x+3/4,-z+1/4'
'x+1/2,-y+1/2,-z+1/2'
'-x+1/2,y+1/2,z+1/2'
'-y+3/4,-x+3/4,-z+1/4'
'y+3/4,x+3/4,z+1/4'
'-x,y+1/2,-z'
'x,-y+1/2,z'
'y+3/4,x+1/4,-z+3/4'
'-y+3/4,-x+1/4,z+3/4'
loop_
_atom_site_label
_atom_site_fract_x
_atom_site_fract_y
_atom_site_fract_z
La1 0.0000 0.2500 0.3750
Al1 0.0000 0.2500 0.8750
Al2 0.1226 0.0476 0.6822
Pd1 0.0000 0.0000 0.0000
# - total energy (eV/atom) = -4.559
# - crystal system = tetragonal
# - formation enthalpy at 0 K (eV/f.u.) = -5.7

---

No. 2
# TiAlVS2 | the Alexandria database | GGA-PBE | optimized geometry
data_TiAlVS2
_chemical_formula_sum 'Ti1 Al1 V1 S2'
_space_group_name_H-M_alt 'P 4/m m m'
_space_group_IT_number 123
_space_group_name_Hall '-P 4 2'
_cell_length_a 4.4739
_cell_length_b 4.4739
_cell_length_c 4.8407
_cell_angle_alpha 90.00
_cell_angle_beta 90.00
_cell_angle_gamma 90.00
loop_
_atom_site_label
_atom_site_fract_x
_atom_site_fract_y
_atom_site_fract_z
Ti1 0.0000 0.0000 0.0000
Al1 0.5000 0.5000 0.0000
V1 0.0000 0.0000 0.5000
S1 0.0000 0.5000 0.5000
# - total energy (eV/atom) = -5.621
# - crystal system = tetragonal
# - formation energy (no corrections) (eV/f.u.) = 0.90

---

No. 3
# MgNbFe2Ge | the Alexandria database | GGA-PBE | optimized geometry
data_MgNbFe2Ge
_chemical_formula_sum 'Mg1 Nb1 Fe2 Ge1'
_space_group_name_H-M_alt 'P 4/m m m'
_space_group_IT_number 123
_space_group_name_Hall '-P 4 2'
_cell_length_a 4.4965
_cell_length_b 4.4965
_cell_length_c 5.3025
_cell_angle_alpha 90.00
_cell_angle_beta 90.00
_cell_angle_gamma 90.00
loop_
_atom_site_label
_atom_site_fract_x
_atom_site_fract_y
_atom_site_fract_z
Mg1 0.0000 0.0000 0.0000
Nb1 0.0000 0.0000 0.5000
Fe1 0.0000 0.5000 0.5000
Ge1 0.5000 0.5000 0.0000
# - total energy (eV/atom) = -5.281
# - crystal system = tetragonal
# - formation enthalpy at 0 K (eV/f.u.) = 6.8

---

No. 4
# LaPd3O | the Alexandria database | GGA-PBE | optimized geometry
data_LaPd3O
_chemical_formula_sum 'La1 Pd3 O1'
_space_group_name_H-M_alt 'P m -3 m'
_space_group_IT_number 221
_space_group_name_Hall '-P 4 2 3'
_cell_length_a 4.4558
_cell_length_b 4.4558
_cell_length_c 4.4558
_cell_angle_alpha 90.00
_cell_angle_beta 90.00
_cell_angle_gamma 90.00
loop_
_atom_site_label
_atom_site_fract_x
_atom_site_fract_y
_atom_site_fract_z
La1 0.0000 0.0000 0.0000
Pd1 0.0000 0.5000 0.5000
O1 0.5000 0.5000 0.5000
# - total energy (eV/atom) = -5.638
# - crystal system = cubic
# - formation energy (no corrections) (eV/f.u.) = -2.72
# - energy relative to the lowest polymorph listed for this composition (meV per atom) = 0

---

No. 5
# RbPbSe2N | the Alexandria database | GGA-PBE | optimized geometry
data_RbPbSe2N
_chemical_formula_sum 'Rb1 Pb1 Se2 N1'
_space_group_name_H-M_alt 'P 4/m m m'
_space_group_IT_number 123
_space_group_name_Hall '-P 4 2'
_cell_length_a 5.6536
_cell_length_b 5.6536
_cell_length_c 4.7576
_cell_angle_alpha 90.00
_cell_angle_beta 90.00
_cell_angle_gamma 90.00
loop_
_atom_site_label
_atom_site_fract_x
_atom_site_fract_y
_atom_site_fract_z
Rb1 0.0000 0.0000 0.0000
Pb1 0.5000 0.5000 0.5000
Se1 0.0000 0.5000 0.5000
N1 0.5000 0.5000 0.0000
# - total energy (eV/atom) = -3.590
# - crystal system = tetragonal
# - formation energy (no corrections) (eV/f.u.) = 2.02
# - energy relative to the lowest polymorph listed for this composition (meV per atom) = 0

---

No. 6
# TbNdCu10 | the Alexandria database | GGA-PBE | optimized geometry
data_TbNdCu10
_chemical_formula_sum 'Tb1 Nd1 Cu10'
_space_group_name_H-M_alt 'P m m m'
_space_group_IT_number 47
_cell_length_a 4.1125
_cell_length_b 5.1008
_cell_length_c 8.7551
_cell_angle_alpha 90.00
_cell_angle_beta 90.00
_cell_angle_gamma 90.00
loop_
_space_group_symop_operation_xyz
'x,y,z'
'-x,-y,-z'
'-x,-y,z'
'x,y,-z'
'x,-y,-z'
'-x,y,z'
'-x,y,-z'
'x,-y,z'
loop_
_atom_site_label
_atom_site_fract_x
_atom_site_fract_y
_atom_site_fract_z
Tb1 0.0000 0.0000 0.0000
Nd1 0.0000 0.5000 0.5000
Cu1 0.0000 0.0000 0.3304
Cu2 0.0000 0.5000 0.1632
Cu3 0.5000 0.0000 0.5000
Cu4 0.5000 0.2481 0.2470
Cu5 0.5000 0.5000 0.0000
# - total energy (eV/atom) = -4.374
# - crystal system = orthorhombic
# - formation enthalpy at 0 K (eV/f.u.) = -2.1

---

Question: total energy of number 4 (LaPd3O)?
Answer: -5.638 eV/atom